A plane-wave DFT calculation with PBE was carried out for a geometry-optimized YReW2 structure.

abc: 5.4676 5.4676 5.4676
angles: 145.66 127.87 63.92
With the nearest neighbours (Å) after each atom.
Element x y z (fractional)
Y1 0.0000 0.0000 0.0000  8 W 2.89-3.22, 2 Re 2.94, 2 Y 3.23
Re1 0.2645 0.7645 0.5000  6 W 2.68-2.91, 2 Y 2.94
W1 0.4948 0.4948 0.0000  2 Re 2.68, 2 W 2.72, 4 Y 2.89
W2 0.7304 0.2304 0.5000  2 W 2.72, 4 Re 2.91, 2 Y 2.98

Values from the calculation:
As for the energy relative to the elements: 412 meV per atom. For the density of states at the Fermi level, the calculation gives 3.3 states/eV per cell. The excess energy over the best structure of this formula in the dataset is 125.2 meV per atom. For the volume, the calculation gives 17.99 Å³/atom.